[1]
Al2TlCr: optimized geometry, PBEsol.

Results
Space group = No. 25
Energy = -0.36305 Ry per atom
Magnetic moment = 2.29 μB/f.u.
E_form = 0.3243 eV/atom

a = 3.099 Å, b = 3.855 Å, c = 5.648 Å
α = 90.00°, β = 90.00°, γ = 90.00°
Positions (direct):
Al1 0.000 0.000 0.000
Al2 0.500 0.500 0.248
Tl1 0.500 0.500 0.727
Cr1 0.000 0.000 0.449

---

[2]
Nb3AlCr8: optimized geometry, PBEsol.

Results
Space group = No. 160
Energy = -0.73101 Ry per atom
Magnetic moment = 0.00 μB/f.u.
E_form = -0.0715 eV/atom

a = 8.351 Å, b = 8.351 Å, c = 8.351 Å
α = 33.56°, β = 33.56°, γ = 33.56°
Positions (direct):
Nb1 0.000 0.000 0.000
Nb2 0.126 0.126 0.126
Nb3 0.503 0.503 0.503
Al1 0.626 0.626 0.626
Cr1 0.061 0.564 0.564
Cr2 0.064 0.064 0.565
Cr3 0.064 0.565 0.064
Cr4 0.314 0.314 0.314
Cr5 0.564 0.061 0.564
Cr6 0.564 0.564 0.061
Cr7 0.565 0.064 0.064
Cr8 0.814 0.814 0.814

---

[3]
Mg2AlSb: optimized geometry, PBEsol.

Results
Space group = No. 139
Energy = -0.22727 Ry per atom
Magnetic moment = 0.00 μB/f.u.
Energy relative to the elements, uncorrected = -0.286 eV/f.u.

a = 5.336 Å, b = 5.336 Å, c = 5.336 Å
α = 130.54°, β = 130.54°, γ = 72.55°
Positions (direct):
Mg1 0.250 0.750 0.500
Mg2 0.750 0.250 0.500
Al1 0.000 0.000 0.000
Sb1 0.500 0.500 0.000

---

Which formula does entry 3 have? Mg2AlSb